Density functional theory data (GGA-PBE) for a relaxed structure of LiCr3In.

The structure belongs to space group Pm-3m (No. 221); the cell edges are 4.111, 4.111 and 4.111 Å and the angles 90.00°, 90.00° and 90.00°. The distinct sites, in fractional coordinates, are Li at (0.000, 0.000, 0.000), Cr at (0.000, 0.000, 0.500) and In at (0.500, 0.500, 0.500).

As for the total magnetic moment: 2.1 μB per cell. The formation energy comes out at 1.2976 eV/atom. The calculation puts the polymorph energy (0 for the lowest one) at 0.0 kJ per mole of atoms. The calculation puts the uncorrected energy at -5.407 eV/atom. The density is 6.64 g/cm³.

***

Density functional theory data (GGA-PBE) for a relaxed structure of Li2MnCrIn.

The structure belongs to space group P4/mmm (No. 123); the cell edges are 4.751, 4.751 and 4.108 Å and the angles 90.00°, 90.00° and 90.00°. The distinct sites, in fractional coordinates, are Li at (0.000, 0.500, 0.000), Mn at (0.000, 0.000, 0.000), Cr at (0.000, 0.000, 0.500) and In at (0.500, 0.500, 0.500).

As for the total magnetic moment: 2.5 μB per cell. The formation energy comes out at 0.8006 eV/atom. The calculation puts the uncorrected energy at -4.271 eV/atom. The density is 4.22 g/cm³.

***

Density functional theory data (GGA-PBE) for a relaxed structure of LiCr2InN.

The structure belongs to space group P4/mmm (No. 123); the cell edges are 3.915, 3.915 and 4.195 Å and the angles 90.00°, 90.00° and 90.00°. The distinct sites, in fractional coordinates, are Li at (0.000, 0.000, 0.000), Cr at (0.000, 0.500, 0.500), In at (0.500, 0.500, 0.000) and N at (0.000, 0.000, 0.500).

As for the total magnetic moment: 3.9 μB per cell. As for the energy relative to the elements, uncorrected: -0.22 eV/atom. The calculation puts the uncorrected energy at -6.667 eV/atom. The density is 6.19 g/cm³.